Material: FeAsP3
Method: DFT, meta-GGA SCAN
State: single point on PBEsol structure

Cell lengths 4.2907, 4.2907, 4.2907 Å; angles 90.00, 90.00, 90.00 degrees
Atoms (fractional coordinates):
Fe1 0.0000 0.0000 0.0000
As1 0.5000 0.5000 0.5000
P1 0.0000 0.0000 0.5000
P2 0.0000 0.5000 0.0000
P3 0.5000 0.0000 0.0000

## Properties
Magnetic moment ... 0.0 μB/f.u.
DOS(E_F) ... 3.62 states/eV/f.u.
DFT formation energy ... 704 meV/atom

---

Material: FeAsP2
Method: DFT, meta-GGA SCAN
State: single point on PBEsol structure

Cell lengths 3.5516, 3.5516, 7.5169 Å; angles 106.35, 106.35, 44.10 degrees
Atoms (fractional coordinates):
Fe1 0.0000 0.0000 0.0000
As1 0.5000 0.5000 0.5000
P1 0.3470 0.3470 0.1579
P2 0.6530 0.6530 0.8421

## Properties
Magnetic moment ... 0.0 μB/f.u.
DOS(E_F) ... 1.97 states/eV/f.u.
DFT formation energy ... 46 meV/atom

---

Material: FeAs2Pb
Method: DFT, meta-GGA SCAN
State: single point on PBEsol structure

Cell lengths 3.1783, 3.1783, 7.3889 Å; angles 90.00, 90.00, 90.00 degrees
Atoms (fractional coordinates):
Fe1 0.0000 0.0000 0.0000
As1 0.0000 0.0000 0.6548
As2 0.5000 0.5000 0.8768
Pb1 0.5000 0.5000 0.2859

## Properties
Magnetic moment ... 1.7 μB/f.u.
DOS(E_F) ... 1.79 states/eV/f.u.
DFT formation energy ... 258 meV/atom